[1]
Density functional theory data (PBE) for an optimized crystal structure of TiIn3Te4.

Computed properties:
E_tot in eV per atom: -3.89
E_form (uncorrected) in eV per formula unit: -2.46

Lattice parameters (Å, degrees): 12.592 6.324 6.349 90.00 90.00 90.00
Space group Pmn2_1 (No. 31)
Symmetry-distinct sites (fractional):
1 Ti 0.000 0.204 0.000
2 In 0.000 0.748 0.456
3 In 0.249 0.758 0.928
4 Te 0.000 0.241 0.420
5 Te 0.000 0.779 0.969
6 Te 0.217 0.254 0.934

---

[2]
Density functional theory data (PBE) for an optimized crystal structure of TiTl2InTe5.

Computed properties:
E_tot in eV per atom: -3.82
E_form (uncorrected) in eV per formula unit: -3.31

Lattice parameters (Å, degrees): 4.005 20.266 15.023 90.00 90.00 90.00
Space group Cmc2_1 (No. 36)
Symmetry-distinct sites (fractional):
1 Ti 0.000 0.215 0.000
2 Tl 0.000 0.120 0.640
3 Tl 0.000 0.134 0.289
4 In 0.000 0.436 0.392
5 Te 0.000 0.066 0.023
6 Te 0.000 0.284 0.627
7 Te 0.000 0.297 0.363
8 Te 0.000 0.345 0.972
9 Te 0.000 0.494 0.734

---

[3]
Density functional theory data (PBE) for an optimized crystal structure of Tm3TiIn3Te8.

Computed properties:
E_tot in eV per atom: -4.51
E_form (uncorrected) in eV per formula unit: -13.03

Lattice parameters (Å, degrees): 8.5274 8.5274 24.1695 90.00 90.00 120.00
Space group R-3m (No. 166, hexagonal axes)
Symmetry-distinct sites (fractional):
1 Tm 0.0000 0.5000 0.0000
2 Ti 0.0000 0.0000 0.0000
3 In 0.0000 0.5000 0.5000
4 Te 0.0000 0.0000 0.2597
5 Te 0.0205 0.5103 0.7365

---

[4]
Density functional theory data (PBE) for an optimized crystal structure of U3TiIn3Te8.

Computed properties:
E_tot in eV per atom: -5.50
E_form (uncorrected) in eV per formula unit: -7.44

Lattice parameters (Å, degrees): 8.4241 8.4241 25.1552 90.00 90.00 120.00
Space group R-3m (No. 166, hexagonal axes)
Symmetry-distinct sites (fractional):
1 U 0.0000 0.5000 0.0000
2 Ti 0.0000 0.0000 0.0000
3 In 0.0000 0.5000 0.5000
4 Te 0.0000 0.0000 0.2575
5 Te 0.0194 0.5097 0.7373

---

[5]
Density functional theory data (PBE) for an optimized crystal structure of TiVIn2Te.

Computed properties:
E_tot in eV per atom: -4.64
E_form (uncorrected) in eV per formula unit: 2.45

Lattice parameters (Å, degrees): 5.340 5.340 4.418 90.00 90.00 90.00
Space group P4/mmm (No. 123)
Symmetry-distinct sites (fractional):
1 Ti 0.000 0.000 0.000
2 V 0.000 0.000 0.500
3 In 0.000 0.500 0.500
4 Te 0.500 0.500 0.000

---

[6]
Density functional theory data (PBE) for an optimized crystal structure of ZrTiInTe2.

Computed properties:
E_tot in eV per atom: -4.10
E_form (uncorrected) in eV per formula unit: 4.97

Lattice parameters (Å, degrees): 5.611 5.611 5.279 90.00 90.00 90.00
Space group P4/mmm (No. 123)
Symmetry-distinct sites (fractional):
1 Zr 0.000 0.000 0.000
2 Ti 0.500 0.500 0.000
3 In 0.500 0.500 0.500
4 Te 0.000 0.500 0.500

---

[7]
Density functional theory data (PBE) for an optimized crystal structure of Tl2InTe.

Computed properties:
E_tot in eV per atom: -2.73
E_form (uncorrected) in eV per formula unit: -0.30
Excess energy over the best structure of this formula in the dataset in eV/f.u.: 0.338

Lattice parameters (Å, degrees): 7.279 10.336 3.316 90.00 90.32 90.00
Space group C2/m (No. 12)
Symmetry-distinct sites (fractional):
1 Tl 0.250 0.250 0.000
2 In 0.000 0.000 0.500
3 Te 0.000 0.500 0.500

---

[8]
Density functional theory data (PBE) for an optimized crystal structure of Tl5In2Te4.

Computed properties:
E_tot in eV per atom: -2.98
E_form (uncorrected) in eV per formula unit: -2.86

Lattice parameters (Å, degrees): 18.100 4.457 10.691 90.00 112.73 90.00
Space group C2/m (No. 12)
Symmetry-distinct sites (fractional):
1 Tl 0.000 0.000 0.000
2 Tl 0.139 0.500 0.979
3 Tl 0.242 0.500 0.625
4 In 0.007 0.000 0.637
5 Te 0.073 0.500 0.289
6 Te 0.180 0.000 0.785

---

[9]
Density functional theory data (PBE) for an optimized crystal structure of TlIn2Te.

Computed properties:
E_tot in eV per atom: -2.86
E_form (uncorrected) in eV per formula unit: -0.46
Excess energy over the best structure of this formula in the dataset in eV/f.u.: 0.046

Lattice parameters (Å, degrees): 4.2244 4.2244 24.9852 90.00 90.00 120.00
Space group R-3m (No. 166, hexagonal axes)
Symmetry-distinct sites (fractional):
1 Tl 0.0000 0.0000 0.0000
2 In 0.0000 0.0000 0.2442
3 Te 0.0000 0.0000 0.5000

---

[10]
Density functional theory data (PBE) for an optimized crystal structure of TlIn2Te.

Computed properties:
E_tot in eV per atom: -2.87
E_form (uncorrected) in eV per formula unit: -0.50
Excess energy over the best structure of this formula in the dataset in eV/f.u.: 0.000

Lattice parameters (Å, degrees): 4.101 4.101 7.264 90.00 90.00 90.00
Space group P4mm (No. 99)
Symmetry-distinct sites (fractional):
1 Tl 0.000 0.000 0.000
2 In 0.000 0.000 0.507
3 In 0.500 0.500 0.267
4 Te 0.500 0.500 0.709

---

[11]
Density functional theory data (PBE) for an optimized crystal structure of TlIn2Te.

Computed properties:
E_tot in eV per atom: -2.86
E_form (uncorrected) in eV per formula unit: -0.46
Excess energy over the best structure of this formula in the dataset in eV/f.u.: 0.037

Lattice parameters (Å, degrees): 4.940 4.961 5.047 90.00 90.00 90.00
Space group Pmmm (No. 47)
Symmetry-distinct sites (fractional):
1 Tl 0.000 0.000 0.000
2 In 0.000 0.500 0.500
3 In 0.500 0.000 0.500
4 Te 0.500 0.500 0.000

---

[12]
Density functional theory data (PBE) for an optimized crystal structure of Tl2InTe.

Computed properties:
E_tot in eV per atom: -2.77
E_form (uncorrected) in eV per formula unit: -0.48
Excess energy over the best structure of this formula in the dataset in eV/f.u.: 0.157

Lattice parameters (Å, degrees): 4.2878 4.2878 25.5509 90.00 90.00 120.00
Space group R3m (No. 160, hexagonal axes)
Symmetry-distinct sites (fractional):
1 Tl 0.0000 0.0000 0.0000
2 Tl 0.0000 0.0000 0.2408
3 In 0.0000 0.0000 0.7539
4 Te 0.0000 0.0000 0.4901